# LaNiO3 PBE with a Hubbard U optimized geometry
# - E_tot: -6.082 eV/atom
# - Total magnetization: 0.168 μB/atom
data_LaNiO3
_chemical_formula_sum 'La4 Ni4 O12'
_symmetry_space_group_name_H-M 'P 1'
_symmetry_Int_Tables_number 1
_cell_length_a 7.2514
_cell_length_b 7.2514
_cell_length_c 7.2514
_cell_angle_alpha 60.00
_cell_angle_beta 60.00
_cell_angle_gamma 60.00
loop_
_symmetry_equiv_pos_as_xyz
'x,y,z'
loop_
_atom_site_label
_atom_site_fract_x
_atom_site_fract_y
_atom_site_fract_z
O1 0.0351 0.4649 0.4649
O2 0.2149 0.7851 0.7851
O3 0.2149 0.7851 0.2149
O4 0.4649 0.4649 0.0351
O5 0.7851 0.2149 0.7851
O6 0.4649 0.0351 0.4649
O7 0.7851 0.2149 0.2149
O8 0.0351 0.4649 0.0351
O9 0.7851 0.7851 0.2149
O10 0.2149 0.2149 0.7851
O11 0.4649 0.0351 0.0351
O12 0.0351 0.0351 0.4649
La1 0.6250 0.6250 0.1250
La2 0.6250 0.6250 0.6250
La3 0.1250 0.6250 0.6250
La4 0.6250 0.1250 0.6250
Ni1 0.6250 0.1250 0.1250
Ni2 0.1250 0.1250 0.1250
Ni3 0.1250 0.1250 0.6250
Ni4 0.1250 0.6250 0.1250

# LaNiO3 PBE with a Hubbard U optimized geometry
# - E_tot: -6.625 eV/atom
# - Total magnetization: 0.200 μB/atom
data_LaNiO3
_chemical_formula_sum 'La2 Ni2 O6'
_symmetry_space_group_name_H-M 'P 1'
_symmetry_Int_Tables_number 1
_cell_length_a 5.4306
_cell_length_b 5.4306
_cell_length_c 5.4306
_cell_angle_alpha 61.51
_cell_angle_beta 61.51
_cell_angle_gamma 61.51
loop_
_symmetry_equiv_pos_as_xyz
'x,y,z'
loop_
_atom_site_label
_atom_site_fract_x
_atom_site_fract_y
_atom_site_fract_z
O1 0.7500 0.1867 0.3133
O2 0.2500 0.8133 0.6867
O3 0.6867 0.2500 0.8133
O4 0.3133 0.7500 0.1867
O5 0.1867 0.3133 0.7500
O6 0.8133 0.6867 0.2500
La1 0.2500 0.2500 0.2500
La2 0.7500 0.7500 0.7500
Ni1 0.0000 0.0000 0.0000
Ni2 0.5000 0.5000 0.5000

# LaNiO3 PBE with a Hubbard U optimized geometry
# - E_tot: -6.591 eV/atom
# - Total magnetization: 0.200 μB/atom
data_LaNiO3
_chemical_formula_sum 'La1 Ni1 O3'
_symmetry_space_group_name_H-M 'P 1'
_symmetry_Int_Tables_number 1
_cell_length_a 3.8576
_cell_length_b 3.8559
_cell_length_c 5.4510
_cell_angle_alpha 90.00
_cell_angle_beta 135.03
_cell_angle_gamma 90.00
loop_
_symmetry_equiv_pos_as_xyz
'x,y,z'
loop_
_atom_site_label
_atom_site_fract_x
_atom_site_fract_y
_atom_site_fract_z
O1 0.8889 0.0114 0.4975
O2 0.8888 0.0113 0.9973
O3 0.3892 0.5113 0.9977
La1 0.3891 0.5113 0.4976
Ni1 0.3891 0.0113 0.9975

# LaNiO3 PBE with a Hubbard U optimized geometry
# - E_tot: -5.234 eV/atom
# - Total magnetization: 0.379 μB/atom
data_LaNiO3
_chemical_formula_sum 'La1 Ni1 O3'
_symmetry_space_group_name_H-M 'P 1'
_symmetry_Int_Tables_number 1
_cell_length_a 4.4056
_cell_length_b 4.4056
_cell_length_c 4.4056
_cell_angle_alpha 90.00
_cell_angle_beta 90.00
_cell_angle_gamma 90.00
loop_
_symmetry_equiv_pos_as_xyz
'x,y,z'
loop_
_atom_site_label
_atom_site_fract_x
_atom_site_fract_y
_atom_site_fract_z
O1 0.0000 0.5000 0.0000
O2 0.0000 0.0000 0.5000
O3 0.5000 0.0000 0.0000
La1 0.0000 0.0000 0.0000
Ni1 0.5000 0.5000 0.5000

# LaNiO3 PBE with a Hubbard U optimized geometry
# - E_tot: -5.995 eV/atom
# - Total magnetization: 0.599 μB/atom
data_LaNiO3
_chemical_formula_sum 'La2 Ni2 O6'
_symmetry_space_group_name_H-M 'P 1'
_symmetry_Int_Tables_number 1
_cell_length_a 3.8293
_cell_length_b 3.8293
_cell_length_c 12.3576
_cell_angle_alpha 90.00
_cell_angle_beta 90.00
_cell_angle_gamma 120.00
loop_
_symmetry_equiv_pos_as_xyz
'x,y,z'
loop_
_atom_site_label
_atom_site_fract_x
_atom_site_fract_y
_atom_site_fract_z
O1 0.3333 0.6667 0.5629
O2 0.0000 0.0000 0.7500
O3 0.6667 0.3333 0.4371
O4 0.6667 0.3333 0.0629
O5 0.3333 0.6667 0.9371
O6 0.0000 0.0000 0.2500
La1 0.6667 0.3333 0.2500
La2 0.3333 0.6667 0.7500
Ni1 0.0000 0.0000 0.5000
Ni2 0.0000 0.0000 0.0000

# La3Ni4P4O2 PBE with a Hubbard U optimized geometry
# - E_tot: -5.534 eV/atom
# - Total magnetization: 0.000 μB/atom
data_La3Ni4P4O2
_chemical_formula_sum 'La3 Ni4 P4 O2'
_symmetry_space_group_name_H-M 'P 1'
_symmetry_Int_Tables_number 1
_cell_length_a 13.3363
_cell_length_b 13.3363
_cell_length_c 13.3363
_cell_angle_alpha 162.72
_cell_angle_beta 162.72
_cell_angle_gamma 24.54
loop_
_symmetry_equiv_pos_as_xyz
'x,y,z'
loop_
_atom_site_label
_atom_site_fract_x
_atom_site_fract_y
_atom_site_fract_z
O1 0.2500 0.7500 0.5000
O2 0.7500 0.2500 0.5000
Ni1 0.5921 0.0921 0.5000
Ni2 0.0921 0.5921 0.5000
Ni3 0.9079 0.4079 0.5000
Ni4 0.4079 0.9079 0.5000
La1 0.2980 0.2980 0.0000
La2 0.0000 0.0000 0.0000
La3 0.7020 0.7020 0.0000
P1 0.1307 0.1307 0.0000
P2 0.8693 0.8693 0.0000
P3 0.5500 0.5500 0.0000
P4 0.4500 0.4500 0.0000

- Which formula does entry 1 have?
  LaNiO3

- Among the records above, which one has the highest E_tot?
  number 4